# 1
Below is a relaxed SrAg3Mo crystal, with properties calculated at the PBEsol level.

Results
Calculated formation energy   871 meV per atom

The structure in CIF format:
```
data_SrAg3Mo
_chemical_formula_sum 'Sr1 Ag3 Mo1'
_cell_length_a 5.0505
_cell_length_b 5.0505
_cell_length_c 5.0505
_cell_angle_alpha 90.00
_cell_angle_beta 90.00
_cell_angle_gamma 90.00
_symmetry_space_group_name_H-M 'P m -3 m'
_symmetry_Int_Tables_number 221
_symmetry_space_group_name_Hall '-P 4 2 3'
loop_
_atom_site_label
_atom_site_type_symbol
_atom_site_fract_x
_atom_site_fract_y
_atom_site_fract_z
Sr1 Sr 0.0000 0.0000 0.0000
Ag1 Ag 0.0000 0.5000 0.5000
Mo1 Mo 0.5000 0.5000 0.5000
```



# 2
Below is a relaxed SrAgMo2 crystal, with properties calculated at the PBEsol level.

Results
Calculated formation energy   905 meV per atom
Offset from the most stable computed form   0.056 eV per atom

The structure in CIF format:
```
data_SrAgMo2
_chemical_formula_sum 'Sr1 Ag1 Mo2'
_cell_length_a 3.0231
_cell_length_b 4.3497
_cell_length_c 6.7234
_cell_angle_alpha 90.00
_cell_angle_beta 90.00
_cell_angle_gamma 90.00
_symmetry_space_group_name_H-M 'P m m m'
_symmetry_Int_Tables_number 47
_symmetry_space_group_name_Hall '-P 2 2'
loop_
_atom_site_label
_atom_site_type_symbol
_atom_site_fract_x
_atom_site_fract_y
_atom_site_fract_z
Sr1 Sr 0.0000 0.0000 0.0000
Ag1 Ag 0.0000 0.0000 0.5000
Mo1 Mo 0.5000 0.5000 0.3420
```



# 3
Below is a relaxed SrAgMo2 crystal, with properties calculated at the PBEsol level.

Results
Calculated formation energy   850 meV per atom
Offset from the most stable computed form   0.000 eV per atom

The structure in CIF format:
```
data_SrAgMo2
_chemical_formula_sum 'Sr2 Ag2 Mo4'
_cell_length_a 2.9794
_cell_length_b 4.7292
_cell_length_c 10.9666
_cell_angle_alpha 90.00
_cell_angle_beta 90.00
_cell_angle_gamma 90.00
_symmetry_space_group_name_H-M 'I m m m'
_symmetry_Int_Tables_number 71
_symmetry_space_group_name_Hall '-I 2 2'
loop_
_atom_site_label
_atom_site_type_symbol
_atom_site_fract_x
_atom_site_fract_y
_atom_site_fract_z
Sr1 Sr 0.0000 0.0000 0.0000
Ag1 Ag 0.0000 0.0000 0.5000
Mo1 Mo 0.0000 0.5000 0.2283
```



# 4
Below is a relaxed SrAgMo3 crystal, with properties calculated at the PBEsol level.

Results
Calculated formation energy   2226 meV per atom

The structure in CIF format:
```
data_SrAgMo3
_chemical_formula_sum 'Sr1 Ag1 Mo3'
_cell_length_a 4.8868
_cell_length_b 4.8868
_cell_length_c 4.8868
_cell_angle_alpha 90.00
_cell_angle_beta 90.00
_cell_angle_gamma 90.00
_symmetry_space_group_name_H-M 'P m -3 m'
_symmetry_Int_Tables_number 221
_symmetry_space_group_name_Hall '-P 4 2 3'
loop_
_atom_site_label
_atom_site_type_symbol
_atom_site_fract_x
_atom_site_fract_y
_atom_site_fract_z
Sr1 Sr 0.0000 0.0000 0.0000
Ag1 Ag 0.5000 0.5000 0.5000
Mo1 Mo 0.0000 0.5000 0.5000
```



# 5
Below is a relaxed TaAg2Mo crystal, with properties calculated at the PBEsol level.

Results
Calculated formation energy   381 meV per atom
Offset from the most stable computed form   0.033 eV per atom

The structure in CIF format:
```
data_TaAg2Mo
_chemical_formula_sum 'Ta2 Ag4 Mo2'
_cell_length_a 5.3301
_cell_length_b 9.3769
_cell_length_c 2.6800
_cell_angle_alpha 90.00
_cell_angle_beta 103.49
_cell_angle_gamma 90.00
_symmetry_space_group_name_H-M 'C 1 2/m 1'
_symmetry_Int_Tables_number 12
_symmetry_space_group_name_Hall '-C 2y'
loop_
_atom_site_label
_atom_site_type_symbol
_atom_site_fract_x
_atom_site_fract_y
_atom_site_fract_z
Ta1 Ta 0.0000 0.0000 0.0000
Ag1 Ag 0.2500 0.2500 0.5000
Mo1 Mo 0.0000 0.5000 0.0000
```



# 6
Below is a relaxed TaAg2Mo crystal, with properties calculated at the PBEsol level.

Results
Calculated formation energy   349 meV per atom
Offset from the most stable computed form   0.000 eV per atom

The structure in CIF format:
```
data_TaAg2Mo
_chemical_formula_sum 'Ta1 Ag2 Mo1'
_cell_length_a 3.3597
_cell_length_b 4.1465
_cell_length_c 4.6639
_cell_angle_alpha 90.00
_cell_angle_beta 90.00
_cell_angle_gamma 90.00
_symmetry_space_group_name_H-M 'P m m m'
_symmetry_Int_Tables_number 47
_symmetry_space_group_name_Hall '-P 2 2'
loop_
_atom_site_label
_atom_site_type_symbol
_atom_site_fract_x
_atom_site_fract_y
_atom_site_fract_z
Ta1 Ta 0.0000 0.0000 0.0000
Ag1 Ag 0.0000 0.5000 0.5000
Ag2 Ag 0.5000 0.0000 0.5000
Mo1 Mo 0.5000 0.5000 0.0000
```



# 7
Below is a relaxed TaAg2Mo crystal, with properties calculated at the PBEsol level.

Results
Calculated formation energy   631 meV per atom
Offset from the most stable computed form   0.282 eV per atom

The structure in CIF format:
```
data_TaAg2Mo
_chemical_formula_sum 'Ta1 Ag2 Mo1'
_cell_length_a 3.5085
_cell_length_b 3.5085
_cell_length_c 5.3892
_cell_angle_alpha 90.00
_cell_angle_beta 90.00
_cell_angle_gamma 90.00
_symmetry_space_group_name_H-M 'P 4/m m m'
_symmetry_Int_Tables_number 123
_symmetry_space_group_name_Hall '-P 4 2'
loop_
_atom_site_label
_atom_site_type_symbol
_atom_site_fract_x
_atom_site_fract_y
_atom_site_fract_z
Ta1 Ta 0.0000 0.0000 0.0000
Ag1 Ag 0.5000 0.5000 0.2519
Mo1 Mo 0.0000 0.0000 0.5000
```



# 8
Below is a relaxed TcAg2Mo crystal, with properties calculated at the PBEsol level.

Results
Calculated formation energy   472 meV per atom
Offset from the most stable computed form   0.118 eV per atom

The structure in CIF format:
```
data_TcAg2Mo
_chemical_formula_sum 'Tc1 Ag2 Mo1'
_cell_length_a 3.6950
_cell_length_b 3.6950
_cell_length_c 4.4897
_cell_angle_alpha 90.00
_cell_angle_beta 90.00
_cell_angle_gamma 90.00
_symmetry_space_group_name_H-M 'P 4/m m m'
_symmetry_Int_Tables_number 123
_symmetry_space_group_name_Hall '-P 4 2'
loop_
_atom_site_label
_atom_site_type_symbol
_atom_site_fract_x
_atom_site_fract_y
_atom_site_fract_z
Tc1 Tc 0.0000 0.0000 0.0000
Ag1 Ag 0.0000 0.5000 0.5000
Mo1 Mo 0.5000 0.5000 0.0000
```



# 9
Below is a relaxed TcAg2Mo crystal, with properties calculated at the PBEsol level.

Results
Calculated formation energy   539 meV per atom
Offset from the most stable computed form   0.185 eV per atom

The structure in CIF format:
```
data_TcAg2Mo
_chemical_formula_sum 'Tc2 Ag4 Mo2'
_cell_length_a 3.9877
_cell_length_b 3.9877
_cell_length_c 7.6934
_cell_angle_alpha 90.00
_cell_angle_beta 90.00
_cell_angle_gamma 90.00
_symmetry_space_group_name_H-M 'I -4 m 2'
_symmetry_Int_Tables_number 119
_symmetry_space_group_name_Hall 'I -4 -2'
loop_
_atom_site_label
_atom_site_type_symbol
_atom_site_fract_x
_atom_site_fract_y
_atom_site_fract_z
Tc1 Tc 0.0000 0.0000 0.0000
Ag1 Ag 0.0000 0.0000 0.5000
Ag2 Ag 0.0000 0.5000 0.2500
Mo1 Mo 0.0000 0.5000 0.7500
```



# 10
Below is a relaxed TcAgMo crystal, with properties calculated at the PBEsol level.

Results
Calculated formation energy   379 meV per atom

The structure in CIF format:
```
data_TcAgMo
_chemical_formula_sum 'Tc1 Ag1 Mo1'
_cell_length_a 4.4776
_cell_length_b 4.4776
_cell_length_c 2.6167
_cell_angle_alpha 90.00
_cell_angle_beta 90.00
_cell_angle_gamma 120.00
_symmetry_space_group_name_H-M 'P 3 m 1'
_symmetry_Int_Tables_number 156
_symmetry_space_group_name_Hall 'P 3 -2"'
loop_
_atom_site_label
_atom_site_type_symbol
_atom_site_fract_x
_atom_site_fract_y
_atom_site_fract_z
Tc1 Tc 0.0000 0.0000 0.0000
Ag1 Ag 0.3333 0.6667 0.3858
Mo1 Mo 0.6667 0.3333 0.7764
```



# 11
Below is a relaxed TcAg2Mo crystal, with properties calculated at the PBEsol level.

Results
Calculated formation energy   354 meV per atom
Offset from the most stable computed form   0.000 eV per atom

The structure in CIF format:
```
data_TcAg2Mo
_chemical_formula_sum 'Tc1 Ag2 Mo1'
_cell_length_a 2.9616
_cell_length_b 2.9616
_cell_length_c 7.3457
_cell_angle_alpha 90.00
_cell_angle_beta 90.00
_cell_angle_gamma 90.00
_symmetry_space_group_name_H-M 'P 4 m m'
_symmetry_Int_Tables_number 99
_symmetry_space_group_name_Hall 'P 4 -2'
loop_
_atom_site_label
_atom_site_type_symbol
_atom_site_fract_x
_atom_site_fract_y
_atom_site_fract_z
Tc1 Tc 0.0000 0.0000 0.0000
Ag1 Ag 0.0000 0.0000 0.5300
Ag2 Ag 0.5000 0.5000 0.2738
Mo1 Mo 0.5000 0.5000 0.8110
```



# 12
Below is a relaxed AgTeMo2 crystal, with properties calculated at the PBEsol level.

Results
Raw formation energy   0.643 eV/atom

The structure in CIF format:
```
data_AgTeMo2
_chemical_formula_sum 'Ag3 Te3 Mo6'
_cell_length_a 3.0249
_cell_length_b 3.0249
_cell_length_c 26.2739
_cell_angle_alpha 90.00
_cell_angle_beta 90.00
_cell_angle_gamma 120.00
_symmetry_space_group_name_H-M 'R -3 m'
_symmetry_Int_Tables_number 166
_symmetry_space_group_name_Hall '-R 3 2"'
loop_
_atom_site_label
_atom_site_type_symbol
_atom_site_fract_x
_atom_site_fract_y
_atom_site_fract_z
Ag1 Ag 0.0000 0.0000 0.0000
Te1 Te 0.0000 0.0000 0.5000
Mo1 Mo 0.0000 0.0000 0.2469
```